1.
{
  "formula": "Sc2TlNi",
  "functional": "PBE-GGA",
  "state": "optimized geometry",
  "lattice_angstrom": [[-1.4577, -0.2782, -3.0450], [1.9411, -2.6874, -0.6837], [-4.9141, -4.2466, 2.7405]],
  "species": ["Ni", "Sc", "Sc", "Tl"],
  "frac_coords": [[0.5000, 0.5000, 0.7639], [0.0000, 0.0000, 0.9509], [0.5000, 0.5000, 0.2551], [0.0000, 0.0000, 0.5301]],
  "e_form_ev_per_fu": -0.5,
  "sg": "P4mm (99)"
}



2.
{
  "formula": "Sc5Tl2Ni",
  "functional": "PBE-GGA",
  "state": "optimized geometry",
  "lattice_angstrom": [[4.5895, 0.0000, 0.0000], [0.0000, 6.5242, 0.0000], [0.0000, 0.0000, 11.7849]],
  "species": ["Sc", "Sc", "Sc", "Sc", "Sc", "Sc", "Sc", "Sc", "Sc", "Sc", "Tl", "Tl", "Tl", "Tl", "Ni", "Ni"],
  "frac_coords": [[0.0000, 0.0000, 0.5000], [0.0000, 0.5000, 0.0000], [0.0000, 0.8901, 0.2126], [0.0000, 0.1099, 0.7874], [0.0000, 0.6099, 0.7126], [0.0000, 0.3901, 0.2874], [0.5000, 0.6749, 0.4166], [0.5000, 0.3251, 0.5834], [0.5000, 0.8251, 0.9166], [0.5000, 0.1749, 0.0834], [0.5000, 0.6190, 0.1586], [0.5000, 0.3810, 0.8414], [0.5000, 0.8810, 0.6586], [0.5000, 0.1190, 0.3414], [0.0000, 0.5000, 0.5000], [0.0000, 0.0000, 0.0000]],
  "e_form_ev_per_fu": -2.2,
  "sg": "Pbam (55)"
}